(1)
Below is a geometry-optimized Np2UCr2C4 structure, with properties calculated at the PBE level.

Cell: 14.048 3.146 5.399 Å, 90.00 112.18 90.00°
Space group C2/m (No. 12)
Symmetry-distinct sites (fractional):
Np 0.133 0.000 0.273 x4
U 0.000 0.000 0.500 x2
Cr 0.176 0.500 0.862 x4
C 0.023 0.500 0.896 x4
C 0.238 0.000 0.746 x4

formation enthalpy at 0 K: -0.01 eV/atom

=====

(2)
Below is a geometry-optimized HfTi2Ni9 structure, with properties calculated at the PBE level.

Cell: 3.654 3.654 10.918 Å, 90.00 90.00 90.00°
Space group P4/mmm (No. 123)
Symmetry-distinct sites (fractional):
Hf 0.000 0.000 0.000 x1
Ti 0.000 0.000 0.337 x2
Ni 0.000 0.500 0.175 x4
Ni 0.000 0.500 0.500 x2
Ni 0.500 0.500 0.000 x1
Ni 0.500 0.500 0.337 x2

formation enthalpy at 0 K: -0.47 eV/atom

=====

(3)
Below is a geometry-optimized ZrCr2Br structure, with properties calculated at the PBE level.

Cell: 6.632 6.632 6.632 Å, 90.00 90.00 90.00°
Space group Fm-3m (No. 225)
Symmetry-distinct sites (fractional):
Zr 0.000 0.000 0.000 x4
Cr 0.250 0.250 0.250 x8
Br 0.000 0.000 0.500 x4

uncorrected formation energy: 20.6 kcal/mol of atoms

=====

(4)
Below is a geometry-optimized NpBr2Cl2 structure, with properties calculated at the PBE level.

Cell: 9.617 9.748 4.120 Å, 90.00 90.00 90.00°
Space group Cmmm (No. 65)
Symmetry-distinct sites (fractional):
Np 0.000 0.000 0.000 x2
Br 0.000 0.273 0.000 x4
Cl 0.182 0.000 0.500 x4

uncorrected formation energy: -32.2 kcal/mol of atoms

=====

(5)
Below is a geometry-optimized Pm12In3N5 structure, with properties calculated at the PBE level.

Cell: 16.132 16.132 16.132 Å, 90.00 90.00 90.00°
Space group Ia-3d (No. 230)
Symmetry-distinct sites (fractional):
Pm 0.038 0.050 0.647 x96
In 0.000 0.250 0.125 x24
N 0.000 0.000 0.000 x16
N 0.000 0.250 0.375 x24

uncorrected formation energy: -17.3 kcal/mol of atoms

=====

(6)
Below is a geometry-optimized Li6TlPb12 structure, with properties calculated at the PBE level.

Cell: 12.9236 12.9236 11.3857 Å, 90.00 90.00 120.00°
Space group R-3 (No. 148, hexagonal axes)
Symmetry-distinct sites (fractional):
Li 0.0344 0.1621 0.1997 x18
Tl 0.0000 0.0000 0.5000 x3
Pb 0.0598 0.4570 0.1063 x18
Pb 0.0709 0.4805 0.6078 x18

formation enthalpy at 0 K: -0.01 eV/atom

=====

no.,DOS at the Fermi energy (states/eV per atom)
1,1.3047
2,0.2252
3,1.9123
4,2.0203
5,0.8830
6,0.4611